[1]
VASP calculation (PBE) on crystalline GdZnCd2 at its relaxed geometry.

energy relative to the elements: -0.215 eV/atom

abc: 4.393 4.393 4.804
angles: 90.00 90.00 90.00
Space group P4/mmm (No. 123)
One atom of each set of equivalent atoms:
Gd (0.000, 0.000, 0.000) [1 per cell]
Zn (0.500, 0.500, 0.000) [1 per cell]
Cd (0.000, 0.500, 0.500) [2 per cell]

=====

[2]
VASP calculation (PBE) on crystalline PmPaHg2 at its relaxed geometry.

energy above the lowest structure with this stoichiometry: 0 kJ/mol of formula units
energy relative to the elements: -0.147 eV/atom

abc: 3.351 3.351 9.089
angles: 90.00 90.00 90.00
Space group P4/mmm (No. 123)
One atom of each set of equivalent atoms:
Pm (0.000, 0.000, 0.000) [1 per cell]
Pa (0.000, 0.000, 0.500) [1 per cell]
Hg (0.500, 0.500, 0.252) [2 per cell]

=====

[3]
VASP calculation (PBE) on crystalline Zr2CrAu at its relaxed geometry.

energy above the lowest structure with this stoichiometry: 0 kJ/mol of formula units
energy relative to the elements: -0.196 eV/atom

abc: 3.272 3.283 6.942
angles: 90.00 90.12 90.00
Space group P2/m (No. 10)
One atom of each set of equivalent atoms:
Zr (0.001, 0.000, 0.276) [2 per cell]
Cr (0.500, 0.500, 0.500) [1 per cell]
Au (0.500, 0.500, 0.000) [1 per cell]

=====

[4]
VASP calculation (PBE) on crystalline Tc2OsCl at its relaxed geometry.

energy above the lowest structure with this stoichiometry: 152 kJ/mol of formula units
uncorrected formation energy: 0.681 eV/atom

abc: 2.789 4.841 9.908
angles: 90.00 90.00 90.00
Space group Cmm2 (No. 35)
One atom of each set of equivalent atoms:
Tc (0.000, 0.000, 0.000) [2 per cell]
Tc (0.000, 0.500, 0.236) [2 per cell]
Os (0.000, 0.500, 0.781) [2 per cell]
Cl (0.000, 0.000, 0.435) [2 per cell]

=====

[5]
VASP calculation (PBE) on crystalline Rb3SiPb at its relaxed geometry.

uncorrected formation energy: 0.546 eV/atom

abc: 6.726 6.726 6.726
angles: 90.00 90.00 90.00
Space group Pm-3m (No. 221)
One atom of each set of equivalent atoms:
Rb (0.000, 0.000, 0.500) [3 per cell]
Si (0.000, 0.000, 0.000) [1 per cell]
Pb (0.500, 0.500, 0.500) [1 per cell]

=====

[6]
VASP calculation (PBE) on crystalline AcTbEuY at its relaxed geometry.

energy relative to the elements: 0.143 eV/atom

abc: 8.415 8.415 8.415
angles: 90.00 90.00 90.00
Space group F-43m (No. 216)
One atom of each set of equivalent atoms:
Ac (0.000, 0.000, 0.000) [4 per cell]
Tb (0.250, 0.250, 0.250) [4 per cell]
Eu (0.000, 0.000, 0.500) [4 per cell]
Y (0.250, 0.250, 0.750) [4 per cell]

=====

[7]
VASP calculation (PBE) on crystalline Pm7CdIr4 at its relaxed geometry.

energy relative to the elements: -0.373 eV/atom

abc: 13.844 5.575 10.010
angles: 90.00 125.52 90.00
Space group C2/m (No. 12)
One atom of each set of equivalent atoms:
Pm (0.000, 0.000, 0.000) [2 per cell]
Pm (0.079, 0.500, 0.368) [4 per cell]
Pm (0.173, 0.000, 0.620) [4 per cell]
Pm (0.209, 0.500, 0.876) [4 per cell]
Cd (0.000, 0.500, 0.000) [2 per cell]
Ir (0.068, 0.000, 0.780) [4 per cell]
Ir (0.203, 0.000, 0.336) [4 per cell]

=====

[8]
VASP calculation (PBE) on crystalline CaAgHgF6 at its relaxed geometry.

uncorrected formation energy: -2.122 eV/atom

abc: 5.143 5.143 11.202
angles: 90.00 90.00 90.00
Space group P4_2nm (No. 102)
One atom of each set of equivalent atoms:
Ca (0.000, 0.000, 0.000) [2 per cell]
Ag (0.000, 0.000, 0.335) [2 per cell]
Hg (0.000, 0.000, 0.666) [2 per cell]
F (0.192, 0.192, 0.164) [4 per cell]
F (0.195, 0.195, 0.498) [4 per cell]
F (0.206, 0.206, 0.838) [4 per cell]

=====

[9]
VASP calculation (PBE) on crystalline LiPuGaOs at its relaxed geometry.

energy relative to the elements: -0.040 eV/atom

abc: 6.511 6.511 6.511
angles: 90.00 90.00 90.00
Space group F-43m (No. 216)
One atom of each set of equivalent atoms:
Li (0.000, 0.000, 0.000) [4 per cell]
Pu (0.250, 0.250, 0.250) [4 per cell]
Ga (0.250, 0.250, 0.750) [4 per cell]
Os (0.000, 0.000, 0.500) [4 per cell]

=====

[10]
VASP calculation (PBE) on crystalline AcPm4Dy2 at its relaxed geometry.

energy above the lowest structure with this stoichiometry: 51 kJ/mol of formula units
energy relative to the elements: 0.237 eV/atom

abc: 12.203 6.531 6.370
angles: 90.00 98.79 90.00
Space group C2/m (No. 12)
One atom of each set of equivalent atoms:
Ac (0.000, 0.000, 0.000) [2 per cell]
Pm (0.163, 0.000, 0.508) [4 per cell]
Pm (0.250, 0.250, 0.000) [4 per cell]
Dy (0.041, 0.500, 0.266) [4 per cell]

=====

[11]
VASP calculation (PBE) on crystalline GeSbSe at its relaxed geometry.

energy above the lowest structure with this stoichiometry: 81 kJ/mol of formula units
uncorrected formation energy: 0.202 eV/atom

abc: 3.869 3.869 10.362
angles: 90.00 90.00 90.00
Space group I4mm (No. 107)
One atom of each set of equivalent atoms:
Ge (0.000, 0.000, 0.000) [2 per cell]
Sb (0.000, 0.000, 0.628) [2 per cell]
Se (0.000, 0.000, 0.252) [2 per cell]

=====

[12]
VASP calculation (PBE) on crystalline KLaSbF2 at its relaxed geometry.

uncorrected formation energy: -1.536 eV/atom

abc: 4.745 4.745 5.895
angles: 90.00 90.00 90.00
Space group P4/mmm (No. 123)
One atom of each set of equivalent atoms:
K (0.000, 0.000, 0.000) [1 per cell]
La (0.500, 0.500, 0.500) [1 per cell]
Sb (0.000, 0.000, 0.500) [1 per cell]
F (0.000, 0.500, 0.000) [2 per cell]

=====

no.,magnetization (μB per formula unit),Fermi-level density of states (states/eV/cell)
1,7.7,4.22
2,1.1,6.00
3,0.3,4.08
4,0.1,9.46
5,4.4,6.71
6,7.2,26.82
7,0.0,15.57
8,1.0,6.20
9,5.2,37.58
10,0.0,24.89
11,0.0,2.20
12,0.0,1.42